# KPtAu2 (PBE, relaxed)
data_KPtAu2
_chemical_formula_sum 'K1 Pt1 Au2'
_space_group_name_H-M_alt 'P m m m'
_space_group_IT_number 47
_cell_length_a 2.878
_cell_length_b 4.081
_cell_length_c 7.454
_cell_angle_alpha 90.00
_cell_angle_beta 90.00
_cell_angle_gamma 90.00
loop_
_space_group_symop_operation_xyz
'x,y,z'
'-x,-y,-z'
'-x,-y,z'
'x,y,-z'
'x,-y,-z'
'-x,y,z'
'-x,y,-z'
'x,-y,z'
loop_
_atom_site_label
_atom_site_type_symbol
_atom_site_fract_x
_atom_site_fract_y
_atom_site_fract_z
K1 K 0.000 0.000 0.000
Pt1 Pt 0.000 0.000 0.500
Au1 Au 0.500 0.500 0.311
# ΔE to the lowest computed polymorph = 90 meV/atom
# calculated total energy = -3.40 eV/atom
# formation energy from the elements = 8 kJ/mol of formula units